Here is a geometry-optimized Pr2Sm2InGa4 structure from the Alexandria database. Energies are from PBE-GGA.

Structure (extended XYZ):
```
9
Lattice="-3.6103 3.6103 4.6680 3.6103 -3.6103 4.6680 3.6103 3.6103 -4.6680" Properties=species:S:1:pos:R:3 pbc="T T T"
Pr 3.6103 0.0000 2.3340
Pr 0.0000 3.6103 2.3340
Sm 0.0000 0.0000 1.7217
Sm 0.0000 0.0000 7.6144
In 0.0000 0.0000 4.6680
Ga 1.7440 1.7440 0.0000
Ga 1.8663 -1.8663 4.6680
Ga -1.8663 1.8663 4.6680
Ga 1.8663 1.8663 4.6680
```

Summary:
The space-group type is I4/mmm. For the spin magnetization, the calculation gives 0.01 μB per formula unit. The energy of formation from the pure elements is -2.01 eV per formula unit.